[1]
The following is a DFT calculation (GGA-PBEsol) of an optimized crystal structure of Mn2PO5.

Calculated values
Space group: P2_1/c (14)
DOS at the Fermi energy in states/eV/atom: 0.01
Formation energy (no corrections) in kJ/mol of formula units: -1380
VASP energy in eV per atom: -8.2323
Total magnetization in Bohr magnetons per cell: 36.0
Offset from the most stable computed form in eV per formula unit: 0.47

Unit cell a=6.3033 b=6.3674 c=8.4389 alpha=101.95 beta=90.00 gamma=90.00
Fractional positions:
O 0.2127 0.5097 0.0987
Mn 0.6257 0.0086 0.1564
Mn 0.3743 0.9914 0.8436
Mn 0.8558 0.2772 0.4883
O 0.7873 0.4903 0.9013
O 0.1076 0.3716 0.6015
O 0.9251 0.8370 0.1372
O 0.0323 0.7772 0.7506
Mn 0.1442 0.7228 0.5117
O 0.1703 0.9747 0.3786
O 0.8924 0.6284 0.3985
O 0.4677 0.2772 0.7506
Mn 0.3558 0.2228 0.5117
O 0.6703 0.5253 0.6214
P 0.4063 0.5055 0.2079
O 0.9677 0.2228 0.2494
O 0.3924 0.8716 0.6015
O 0.7127 0.9903 0.9013
Mn 0.8743 0.5086 0.1564
O 0.3297 0.4747 0.3786
O 0.6076 0.1284 0.3985
O 0.4251 0.6630 0.8628
O 0.8297 0.0253 0.6214
Mn 0.6442 0.7772 0.4883
O 0.0749 0.1630 0.8628
P 0.0937 0.0055 0.2079
O 0.2873 0.0097 0.0987
Mn 0.1257 0.4914 0.8436
O 0.5323 0.7228 0.2494
P 0.9063 0.9945 0.7921
P 0.5937 0.4945 0.7921
O 0.5749 0.3370 0.1372

---

[2]
The following is a DFT calculation (GGA-PBEsol) of an optimized crystal structure of Mn4P3O12.

Calculated values
Space group: Pnnm (58)
DOS at the Fermi energy in states/eV/atom: 0.23
Formation energy (no corrections) in kJ/mol of formula units: -3424
VASP energy in eV per atom: -8.1525
Total magnetization in Bohr magnetons per cell: 76.0

Unit cell a=6.2873 b=9.7311 c=16.1969 alpha=90.00 beta=90.00 gamma=90.00
Fractional positions:
O 0.5000 0.1246 0.2259
Mn 0.7474 0.7420 0.8004
O 0.1938 0.1683 0.0873
P 0.0000 0.4657 0.2791
Mn 0.0000 0.9841 0.1420
O 0.7966 0.0959 0.3838
O 0.6938 0.3317 0.5873
O 0.0000 0.1232 0.2495
Mn 0.0000 0.0159 0.8580
O 0.0000 0.1056 0.6760
Mn 0.7526 0.2420 0.6996
O 0.0000 0.8944 0.3240
O 0.7966 0.9041 0.6162
Mn 0.5000 0.0506 0.4064
O 0.2068 0.4065 0.3135
Mn 0.2526 0.7420 0.8004
O 0.5000 0.9115 0.3155
P 0.5000 0.0343 0.7791
P 0.0000 0.2110 0.0332
Mn 0.5000 0.9494 0.5936
O 0.5000 0.6462 0.5516
Mn 0.2474 0.7580 0.3004
O 0.0000 0.6246 0.2741
P 0.5000 0.7110 0.4668
O 0.0000 0.3754 0.7259
O 0.2966 0.5959 0.1162
O 0.5000 0.3944 0.1760
O 0.5000 0.6056 0.8240
O 0.7932 0.5935 0.6865
Mn 0.5000 0.4841 0.3580
P 0.0000 0.7890 0.9668
Mn 0.2474 0.2420 0.6996
O 0.0000 0.3712 0.0185
O 0.2068 0.5935 0.6865
O 0.2034 0.9041 0.6162
O 0.8062 0.1683 0.0873
Mn 0.0000 0.5506 0.0936
O 0.0000 0.5885 0.8155
O 0.5000 0.3768 0.7495
O 0.6938 0.6683 0.4127
P 0.5000 0.2890 0.5332
O 0.5000 0.8754 0.7741
O 0.0000 0.8538 0.0516
O 0.7034 0.4041 0.8838
O 0.7932 0.4065 0.3135
O 0.2034 0.0959 0.3838
P 0.5000 0.4469 0.8392
Mn 0.5000 0.5159 0.6420
O 0.0000 0.1462 0.9484
O 0.3062 0.3317 0.5873
P 0.0000 0.5343 0.7209
O 0.7034 0.5959 0.1162
O 0.1938 0.8317 0.9127
O 0.2966 0.4041 0.8838
O 0.7068 0.9065 0.1865
O 0.5000 0.0885 0.6845
O 0.5000 0.1288 0.5185
P 0.5000 0.9657 0.2209
O 0.8062 0.8317 0.9127
O 0.5000 0.6232 0.2505
O 0.0000 0.8768 0.7505
Mn 0.2526 0.2580 0.1996
O 0.7068 0.0935 0.8135
O 0.0000 0.6288 0.9815
O 0.5000 0.8712 0.4815
O 0.0000 0.4115 0.1845
P 0.5000 0.5531 0.1608
Mn 0.7526 0.7580 0.3004
O 0.2932 0.0935 0.8135
O 0.5000 0.3538 0.4484
P 0.0000 0.0531 0.3392
O 0.3062 0.6683 0.4127
O 0.2932 0.9065 0.1865
Mn 0.0000 0.4494 0.9064
P 0.0000 0.9469 0.6608
Mn 0.7474 0.2580 0.1996

---

[3]
The following is a DFT calculation (GGA-PBEsol) of an optimized crystal structure of MnP3O9.

Calculated values
Space group: Cc (9)
Formation energy (no corrections) in kJ/mol of formula units: -2533
VASP energy in eV per atom: -7.7411
Total magnetization in Bohr magnetons per cell: 8.0
Offset from the most stable computed form in eV per formula unit: 0.04

Unit cell a=6.5638 b=6.5722 c=9.6662 alpha=91.32 beta=90.00 gamma=119.96
Fractional positions:
O 0.0732 0.4326 0.1465
O 0.2335 0.1848 0.2431
O 0.2983 0.3987 0.9097
P 0.2281 0.2887 0.7658
O 0.5722 0.7003 0.1135
Mn 0.3531 0.6665 0.4999
O 0.2520 0.0582 0.7712
P 0.7209 0.9315 0.7360
O 0.9307 0.7574 0.2359
P 0.2106 0.9315 0.2360
P 0.7034 0.7826 0.2485
O 0.3593 0.4325 0.6465
O 0.0769 0.6529 0.8755
O 0.5760 0.6529 0.3755
O 0.8267 0.7574 0.7360
O 0.5739 0.8952 0.8593
O 0.3050 0.9178 0.0949
O 0.1004 0.3987 0.4097
O 0.8062 0.0583 0.2711
O 0.3213 0.8952 0.3593
O 0.1281 0.7003 0.6135
Mn 0.3134 0.6665 0.9999
O 0.9513 0.1848 0.7432
P 0.0605 0.2887 0.2658
O 0.6128 0.9178 0.5949
P 0.0793 0.7826 0.7485

---

[4]
The following is a DFT calculation (GGA-PBEsol) of an optimized crystal structure of Mn2PO5.

Calculated values
Space group: Pnnm (58)
DOS at the Fermi energy in states/eV/atom: 0.15
Formation energy (no corrections) in kJ/mol of formula units: -1425
VASP energy in eV per atom: -8.2913
Total magnetization in Bohr magnetons per cell: 36.0
Offset from the most stable computed form in eV per formula unit: 0.00

Unit cell a=5.9090 b=8.2935 c=8.3879 alpha=90.00 beta=90.00 gamma=90.00
Fractional positions:
O 0.2860 0.6631 0.2650
O 0.5000 0.8666 0.0910
Mn 0.0000 0.3529 0.8685
P 0.5000 0.2315 0.7463
O 0.0000 0.1276 0.9208
O 0.0000 0.3997 0.1140
O 0.5000 0.6276 0.5792
Mn 0.5000 0.1471 0.3685
O 0.5000 0.3724 0.4208
O 0.7140 0.6631 0.2650
P 0.5000 0.7685 0.2537
O 0.0000 0.8724 0.0792
Mn 0.0000 0.6471 0.1315
O 0.7860 0.8369 0.7650
Mn 0.2393 0.0000 0.0000
O 0.0000 0.3666 0.4090
Mn 0.7393 0.5000 0.5000
O 0.0000 0.6334 0.5910
P 0.0000 0.2685 0.2463
Mn 0.2607 0.5000 0.5000
O 0.5000 0.1334 0.9090
O 0.2140 0.8369 0.7650
Mn 0.5000 0.8529 0.6315
O 0.7860 0.1631 0.2350
O 0.7140 0.3369 0.7350
O 0.5000 0.8997 0.3860
O 0.2140 0.1631 0.2350
O 0.0000 0.6003 0.8860
O 0.5000 0.1003 0.6140
O 0.2860 0.3369 0.7350
Mn 0.7607 0.0000 0.0000
P 0.0000 0.7315 0.7537